A plane-wave DFT calculation with GGA-PBE was carried out for a geometry-optimized CaAlCr2Os structure.

The formation enthalpy at 0 K comes out at 1.67 eV/atom. The total energy is -27.87 eV per cell.

Cell lengths 4.5822, 4.5822, 5.2210 Å; angles 90.00, 90.00, 90.00 degrees
Sites, in units of the cell vectors:
Ca: 0.0000 0.0000 0.0000
Al: 0.0000 0.0000 0.5000
Cr: 0.0000 0.5000 0.5000
Cr: 0.5000 0.0000 0.5000
Os: 0.5000 0.5000 0.0000

=====

A plane-wave DFT calculation with GGA-PBE was carried out for a geometry-optimized CaAl2CrPd structure.

The formation enthalpy at 0 K comes out at 0.39 eV/atom. The total energy is -22.34 eV per cell.

Cell lengths 4.6934, 4.6934, 4.9259 Å; angles 90.00, 90.00, 90.00 degrees
Sites, in units of the cell vectors:
Ca: 0.0000 0.0000 0.0000
Al: 0.0000 0.5000 0.5000
Al: 0.5000 0.0000 0.5000
Cr: 0.5000 0.5000 0.0000
Pd: 0.5000 0.5000 0.5000

=====

A plane-wave DFT calculation with GGA-PBE was carried out for a geometry-optimized CaAl2VCr structure.

The formation enthalpy at 0 K comes out at 2.04 eV/atom. The total energy is -18.05 eV per cell.

Cell lengths 5.1198, 5.1198, 4.7113 Å; angles 90.00, 90.00, 90.00 degrees
Sites, in units of the cell vectors:
Ca: 0.0000 0.0000 0.0000
Al: 0.0000 0.5000 0.0000
Al: 0.5000 0.0000 0.0000
V: 0.5000 0.5000 0.5000
Cr: 0.0000 0.0000 0.5000

=====

A plane-wave DFT calculation with GGA-PBE was carried out for a geometry-optimized Cs2CaAl structure.

The formation enthalpy at 0 K comes out at 0.38 eV/atom. The total energy is -11.86 eV per cell.

Cell lengths 10.4578, 10.4578, 10.4578 Å; angles 94.86, 94.86, 146.16 degrees
Sites, in units of the cell vectors:
Cs: 0.3750 0.0293 0.1543
Cs: 0.7793 0.6250 0.6543
Cs: 0.8750 0.2207 0.8457
Cs: 0.9707 0.1250 0.3457
Ca: 0.2500 0.7500 0.5000
Ca: 0.5000 0.5000 0.0000
Al: 0.0000 0.0000 0.0000
Al: 0.7500 0.2500 0.5000

=====

A plane-wave DFT calculation with GGA-PBE was carried out for a geometry-optimized CsCaAl3 structure.

The excess energy over the best structure of this formula in the dataset is 0.0 kJ/mol of atoms. The formation enthalpy at 0 K comes out at 0.78 eV/atom. The total energy is -10.16 eV per cell.

Cell lengths 5.9357, 5.9357, 5.9357 Å; angles 90.00, 90.00, 90.00 degrees
Sites, in units of the cell vectors:
Cs: 0.0000 0.0000 0.0000
Ca: 0.5000 0.5000 0.5000
Al: 0.0000 0.5000 0.5000
Al: 0.5000 0.0000 0.5000
Al: 0.5000 0.5000 0.0000

=====

A plane-wave DFT calculation with GGA-PBE was carried out for a geometry-optimized CsCaAl3 structure.

The excess energy over the best structure of this formula in the dataset is 53.2 kJ/mol of atoms. The formation enthalpy at 0 K comes out at 1.34 eV/atom. The total energy is -7.40 eV per cell.

Cell lengths 5.7774, 5.7774, 5.7774 Å; angles 90.00, 90.00, 90.00 degrees
Sites, in units of the cell vectors:
Cs: 0.0000 0.0000 0.0000
Ca: 0.5000 0.5000 0.5000
Al: 0.0000 0.0000 0.5000
Al: 0.0000 0.5000 0.0000
Al: 0.5000 0.0000 0.0000

=====

A plane-wave DFT calculation with GGA-PBE was carried out for a geometry-optimized Cs3CaAl structure.

The excess energy over the best structure of this formula in the dataset is 0.0 kJ/mol of atoms. The formation enthalpy at 0 K comes out at 0.48 eV/atom. The total energy is -5.92 eV per cell.

Cell lengths 7.3554, 7.3554, 7.3554 Å; angles 90.00, 90.00, 90.00 degrees
Sites, in units of the cell vectors:
Cs: 0.0000 0.0000 0.5000
Cs: 0.0000 0.5000 0.0000
Cs: 0.5000 0.0000 0.0000
Ca: 0.5000 0.5000 0.5000
Al: 0.0000 0.0000 0.0000

=====

A plane-wave DFT calculation with GGA-PBE was carried out for a geometry-optimized CsCaAl2F8 structure.

The uncorrected formation energy is -3281.9 meV/atom. The total energy is -64.69 eV per cell.

Cell lengths 9.8255, 9.8255, 9.8255 Å; angles 33.97, 33.97, 33.97 degrees
Sites, in units of the cell vectors:
Cs: 0.0000 0.0000 0.0000
Ca: 0.5000 0.5000 0.5000
Al: 0.2377 0.2377 0.2377
Al: 0.7623 0.7623 0.7623
F: 0.0944 0.5439 0.7131
F: 0.2869 0.9056 0.4561
F: 0.2990 0.2990 0.2990
F: 0.4561 0.2869 0.9056
F: 0.5439 0.7131 0.0944
F: 0.7010 0.7010 0.7010
F: 0.7131 0.0944 0.5439
F: 0.9056 0.4561 0.2869